A relaxed structure of NaGe3Cl. Source: the Alexandria database, functional PBE.

Computed properties:
- E (eV per atom) = -2.870
- polymorph energy (0 for the lowest one) (kcal/mol of atoms) = 0.00
- formation energy from raw total energies (meV per atom) = 533.2

Structure (extended XYZ):
```
5
Lattice="5.0994 0.0000 0.0000 0.0000 5.0994 0.0000 0.0000 0.0000 5.0994" Properties=species:S:1:pos:R:3 pbc="T T T"
Na 0.0000 0.0000 0.0000
Ge 0.0000 2.5497 2.5497
Ge 2.5497 0.0000 2.5497
Ge 2.5497 2.5497 0.0000
Cl 2.5497 2.5497 2.5497
```